# LiCa2Fe

A relaxed LiCa2Fe crystal (GGA-PBE, Alexandria via LeMat-Bulk).

The structure belongs to space group Cm (No. 8); the cell edges are 11.776, 3.517 and 5.288 Å and the angles 90.00°, 110.76° and 90.00°. The distinct sites, in fractional coordinates, are Li at (0.000, 0.000, 0.000), Ca at (0.216, 0.000, 0.754), Ca at (0.422, 0.000, 0.420) and Fe at (0.182, 0.500, 0.235).

The value obtained for the density of states at the Fermi level is 11.4 states/eV/cell. The calculation puts the total magnetic moment at 2.2 μB/f.u. As for the electronic total energy: -3.213 eV per atom. The calculated volume comes out at 204.8 Å³ per cell.

---

# BaWN3

A relaxed BaWN3 crystal (GGA-PBE, Alexandria via LeMat-Bulk).

The structure belongs to space group P2_1/c (No. 14); the cell edges are 7.699, 5.788 and 10.441 Å and the angles 90.00°, 131.64° and 90.00°. The distinct sites, in fractional coordinates, are Ba at (0.214, 0.240, 0.373), W at (0.341, 0.738, 0.638), N at (0.082, 0.565, 0.569), N at (0.290, 0.741, 0.944) and N at (0.375, 0.059, 0.710).

The value obtained for the density of states at the Fermi level is 0.0 states/eV/cell. The calculation puts the total magnetic moment at 0.0 μB/f.u. As for the electronic total energy: -8.583 eV per atom. The calculated volume comes out at 347.7 Å³ per cell. For the formation energy (no corrections), the calculation gives -612.5 meV/atom.

---

# NbGeAs2Se

A relaxed NbGeAs2Se crystal (GGA-PBE, Alexandria via LeMat-Bulk).

The structure belongs to space group P4/mmm (No. 123); the cell edges are 5.066, 5.066 and 4.944 Å and the angles 90.00°, 90.00° and 90.00°. The distinct sites, in fractional coordinates, are Nb at (0.000, 0.000, 0.000), Ge at (0.500, 0.500, 0.500), As at (0.000, 0.500, 0.000) and Se at (0.000, 0.000, 0.500).

The value obtained for the density of states at the Fermi level is 3.5 states/eV/cell. The calculation puts the total magnetic moment at 0.0 μB/f.u. As for the electronic total energy: -5.144 eV per atom. The calculated volume comes out at 126.9 Å³ per cell. The value obtained for the energy relative to the lowest polymorph listed for this composition is 0 meV per atom. For the formation energy (no corrections), the calculation gives 350.5 meV/atom.